This record from Alexandria via LeMat-Bulk describes an optimized crystal structure of BeAgRu2. The functional is PBE.

The volume is 14.0 A^3/atom. For the formation energy, the calculation gives 0.516 eV per atom. The calculation puts the density of states at the Fermi level at 9.23 states/eV/cell.

The structure belongs to space group Cmmm (No. 65); the cell edges are 4.9664, 8.0556 and 2.8037 Å and the angles 90.00°, 90.00° and 90.00°. The asymmetric unit holds Be at (0.0000, 0.0000, 0.0000), Ag at (0.0000, 0.5000, 0.0000) and Ru at (0.2500, 0.2500, 0.5000).